Entry from Alexandria via LeMat-Bulk: an optimized crystal structure of RbCd2InPt (PBE).

Cell lengths 5.3872, 5.3872, 5.2017 Å; angles 90.00, 90.00, 90.00 degrees
Closest atoms and distances in Å follow each position.
Fractional coordinates of all 5 atoms:
Pt: 0.0000 0.0000 0.0000  2 In 2.60, 4 Cd 2.69
In: 0.0000 0.0000 0.5000  2 Pt 2.60
Cd: 0.5000 0.0000 0.0000  2 Pt 2.69
Rb: 0.5000 0.5000 0.5000  8 Cd 3.74, 4 In 3.81
Cd: 0.0000 0.5000 0.0000  2 Pt 2.69

DFT total energy   -12.9 eV per cell
Total magnetic moment   0.000 μB/f.u.
ΔE_f   -270 meV per atom